Here is crystalline BaSrC2 at its relaxed geometry from Alexandria. Energies are from GGA-PBE.

Calculated values
Crystal system: cubic
Spin magnetization (μB/atom): 0.000
DOS at the Fermi energy (states/eV per cell): 13.2
E_form (eV per atom): 1.45
Energy relative to the lowest polymorph listed for this composition (eV/atom): 0.000

Structure (CIF):
```
data_BaSrC2
_chemical_formula_sum 'Ba4 Sr4 C8'
_symmetry_space_group_name_H-M 'F m -3 m'
_symmetry_Int_Tables_number 225
_symmetry_space_group_name_Hall '-F 4 2 3'
_cell_length_a 6.942
_cell_length_b 6.942
_cell_length_c 6.942
_cell_angle_alpha 90.00
_cell_angle_beta 90.00
_cell_angle_gamma 90.00
loop_
_atom_site_label
_atom_site_type_symbol
_atom_site_fract_x
_atom_site_fract_y
_atom_site_fract_z
_atom_site_occupancy
Ba1 Ba 0.000 0.000 0.000 1
Sr1 Sr 0.000 0.000 0.500 1
C1 C 0.250 0.250 0.250 1
```